VASP calculation (PBE-GGA) on a relaxed structure of LiMg2Mo.

a b c (Å): 4.7162 4.7162 4.7162
angles (deg): 60.00 60.00 60.00
Each line ends with the local moment (μB).
Sites, in units of the cell vectors:
Mo 0.5000 0.5000 0.5000  2.17
Mg 0.2500 0.2500 0.2500  -0.02
Mg 0.7500 0.7500 0.7500  -0.02
Li 0.0000 0.0000 0.0000  -0.04

Results
Relative energy among the computed polymorphs: 292 meV/atom
Theoretical density: 3.4 g/cm³
ΔH_f (0 K): 0.461 eV/atom

=====

VASP calculation (PBE-GGA) on a relaxed structure of LiMgMo2.

a b c (Å): 4.4796 4.4796 4.4796
angles (deg): 120.19 120.19 89.68
Sites, in units of the cell vectors:
Li 0.5000 0.5000 0.0000
Mg 0.7500 0.2500 0.5000
Mo 0.0000 0.0000 0.0000
Mo 0.2500 0.7500 0.5000

Results
Theoretical density: 5.8 g/cm³
ΔH_f (0 K): 0.414 eV/atom

=====

VASP calculation (PBE-GGA) on a relaxed structure of LiMg2Mo.

a b c (Å): 2.8095 2.8095 9.3106
angles (deg): 90.00 90.00 90.00
Sites, in units of the cell vectors:
Li 0.5000 0.5000 0.7500
Mg 0.0000 0.0000 0.0131
Mg 0.0000 0.0000 0.4869
Mo 0.5000 0.5000 0.2500

Results
Relative energy among the computed polymorphs: 12 meV/atom
Theoretical density: 3.4 g/cm³
ΔH_f (0 K): 0.180 eV/atom

=====

VASP calculation (PBE-GGA) on a relaxed structure of Li2MgMo.

a b c (Å): 4.6594 2.5802 5.7199
angles (deg): 79.98 90.00 90.00
Sites, in units of the cell vectors:
Li 0.0000 0.1261 0.9937
Li 0.5000 0.1762 0.2390
Mg 0.0000 0.4103 0.5200
Mo 0.5000 0.7873 0.7474

Results
Theoretical density: 3.3 g/cm³
ΔH_f (0 K): 0.372 eV/atom

=====

VASP calculation (PBE-GGA) on a relaxed structure of LiMg6Mo.

a b c (Å): 6.1432 6.1432 4.8983
angles (deg): 90.00 90.00 120.03
Sites, in units of the cell vectors:
Li 0.0829 0.9171 0.0000
Mg 0.5725 0.8951 0.0000
Mg 0.1049 0.4275 0.0000
Mg 0.5727 0.4273 0.0000
Mg 0.9173 0.5844 0.5000
Mg 0.4156 0.0827 0.5000
Mg 0.9172 0.0828 0.5000
Mo 0.4169 0.5831 0.5000

Results
Relative energy among the computed polymorphs: 3 meV/atom
Theoretical density: 2.6 g/cm³
ΔH_f (0 K): 0.145 eV/atom

=====

VASP calculation (PBE-GGA) on a relaxed structure of LiMg2Mo.

a b c (Å): 5.0443 5.0443 5.4743
angles (deg): 82.49 82.49 31.53
Each line ends with the local moment (μB).
Sites, in units of the cell vectors:
Li 0.2500 0.2500 0.2500  0.00
Mg 0.9999 0.9999 0.9893  0.00
Mg 0.5001 0.5001 0.5107  0.00
Mo 0.7500 0.7500 0.7500  0.09

Results
Relative energy among the computed polymorphs: 228 meV/atom
Theoretical density: 3.5 g/cm³
ΔH_f (0 K): 0.396 eV/atom

=====

VASP calculation (PBE-GGA) on a relaxed structure of LiMg2Mo.

a b c (Å): 3.6661 4.4081 4.4081
angles (deg): 90.00 90.00 90.00
Each line ends with the local moment (μB).
Sites, in units of the cell vectors:
Li 0.5000 0.0000 0.5000  -0.01
Mg 0.0000 0.0000 0.0000  0.00
Mg 0.0000 0.5000 0.5000  0.00
Mo 0.5000 0.5000 0.0000  0.87

Results
Relative energy among the computed polymorphs: 246 meV/atom
Theoretical density: 3.5 g/cm³
ΔH_f (0 K): 0.415 eV/atom

=====

VASP calculation (PBE-GGA) on a relaxed structure of LiMg2Mo.

a b c (Å): 4.6971 4.6971 4.6971
angles (deg): 60.00 60.00 60.00
Each line ends with the local moment (μB).
Sites, in units of the cell vectors:
Li 0.5000 0.5000 0.5000  -0.01
Mg 0.0000 0.0000 0.0000  -0.01
Mg 0.2500 0.2500 0.2500  -0.04
Mo 0.7500 0.7500 0.7500  2.19

Results
Relative energy among the computed polymorphs: 351 meV/atom
Theoretical density: 3.4 g/cm³
ΔH_f (0 K): 0.519 eV/atom

=====

VASP calculation (PBE-GGA) on a relaxed structure of LiMgMo2.

a b c (Å): 2.6170 4.3280 5.8907
angles (deg): 90.00 90.00 90.00
Sites, in units of the cell vectors:
Li 0.0000 0.0000 0.5048
Mg 0.5000 0.5000 0.7384
Mo 0.0000 0.0000 0.0246
Mo 0.5000 0.5000 0.2322

Results
Theoretical density: 5.6 g/cm³
ΔH_f (0 K): 0.366 eV/atom

=====

VASP calculation (PBE-GGA) on a relaxed structure of LiMg2Mo.

a b c (Å): 5.1401 5.1401 5.1401
angles (deg): 132.56 132.56 69.35
Each line ends with the local moment (μB).
Sites, in units of the cell vectors:
Li 0.7500 0.2500 0.5000  0.00
Mg 0.0000 0.0000 0.0000  -0.01
Mg 0.2500 0.7500 0.5000  -0.01
Mo 0.5000 0.5000 0.0000  1.38

Results
Relative energy among the computed polymorphs: 350 meV/atom
Theoretical density: 3.5 g/cm³
ΔH_f (0 K): 0.518 eV/atom

=====

VASP calculation (PBE-GGA) on a relaxed structure of Li2MgMoN4.

a b c (Å): 4.7350 4.7343 5.8075
angles (deg): 114.07 114.06 89.99
Each line ends with the local moment (μB).
Sites, in units of the cell vectors:
Li 0.4858 0.9859 0.9718  0.03
Li 0.2359 0.2359 0.4719  0.02
Mg 0.9859 0.4859 0.9717  0.01
Mo 0.7359 0.7359 0.4718  -0.21
N 0.6297 0.6208 0.7026  0.37
N 0.8509 0.3988 0.2408  0.37
N 0.3901 0.8422 0.2409  0.37
N 0.0729 0.0817 0.7026  0.37

Results
ΔE_f (raw): -1.595 eV/f.u.
Theoretical density: 3.0 g/cm³

=====

Number 1: volume 18.54 Å³ per atom, D(E_F) 2.293 states/eV/f.u.. Number 2: volume 15.85 Å³ per atom, D(E_F) 3.800 states/eV/f.u.. Number 3: volume 18.37 Å³ per atom, D(E_F) 3.652 states/eV/f.u.. Number 4: volume 16.93 Å³ per atom, D(E_F) 2.741 states/eV/f.u.. Number 5: volume 20.00 Å³ per atom, D(E_F) 1.787 states/eV/f.u.. Number 6: volume 18.04 Å³ per atom, D(E_F) 4.113 states/eV/f.u.. Number 7: volume 17.81 Å³ per atom, D(E_F) 2.694 states/eV/f.u.. Number 8: volume 18.32 Å³ per atom, D(E_F) 1.957 states/eV/f.u.. Number 9: volume 16.68 Å³ per atom, D(E_F) 1.966 states/eV/f.u.. Number 10: volume 18.07 Å³ per atom, D(E_F) 3.715 states/eV/f.u.. Number 11: volume 13.30 Å³ per atom, D(E_F) 4.302 states/eV/f.u..